Entry 1:
A plane-wave DFT calculation with PBE was carried out for Al8Ir2Au after structural relaxation.

Calculated values
Symmetry: P-1 (2)
Total magnetization: 0.0 Bohr magnetons per cell
ΔE_f: -546.2 meV/atom
Calculated total energy: -5.18 eV per atom

Geometry as POSCAR:
```
Al8Ir2Au
1.0
4.8005 0.0000 0.0000
-0.0370 5.1761 0.0000
-2.3412 -2.5636 6.9850
Al Ir Au
8 2 1
direct
0.1023 0.1041 0.2076
0.2488 0.4576 0.9989
0.3142 0.5615 0.6349
0.3203 0.0726 0.6336
0.6797 0.9274 0.3664
0.6858 0.4385 0.3651
0.7512 0.5424 0.0011
0.8977 0.8959 0.7924
0.1607 0.6603 0.3205
0.8393 0.3397 0.6795
0.5000 0.0000 0.0000
```


Entry 2:
A plane-wave DFT calculation with PBE was carried out for Al2Ir2Au after structural relaxation.

Calculated values
Symmetry: P4/mbm (127)
Total magnetization: 0.0 Bohr magnetons per cell
Energy above the most stable polymorph in this dataset: 0 meV per atom
ΔE_f: -543.7 meV/atom
Calculated total energy: -6.24 eV per atom

Geometry as POSCAR:
```
Al2Ir2Au
1.0
7.2766 0.0000 0.0000
0.0000 7.2766 0.0000
0.0000 0.0000 2.9125
Al Ir Au
4 4 2
direct
0.1534 0.3466 0.0000
0.3466 0.8466 0.0000
0.6534 0.1534 0.0000
0.8466 0.6534 0.0000
0.1431 0.6431 0.5000
0.3569 0.1431 0.5000
0.6431 0.8569 0.5000
0.8569 0.3569 0.5000
0.0000 0.0000 0.5000
0.5000 0.5000 0.5000
```


Entry 3:
A plane-wave DFT calculation with PBE was carried out for AlIr2Au after structural relaxation.

Calculated values
Symmetry: Cmmm (65)
Total magnetization: 0.0 Bohr magnetons per cell
ΔE_f: -140.1 meV/atom
Calculated total energy: -6.33 eV per atom

Geometry as POSCAR:
```
AlIr2Au
1.0
1.4390 -2.3918 0.0000
1.4390 2.3918 0.0000
0.0000 0.0000 9.0018
Al Ir Au
1 2 1
direct
0.0000 0.0000 0.0000
0.5000 0.5000 0.2212
0.5000 0.5000 0.7788
0.0000 0.0000 0.5000
```


Entry 4:
A plane-wave DFT calculation with PBE was carried out for Al4Ir3Au after structural relaxation.

Calculated values
Symmetry: P4/mmm (123)
Total magnetization: 0.0 Bohr magnetons per cell
ΔE_f: -772.7 meV/atom
Calculated total energy: -6.38 eV per atom

Geometry as POSCAR:
```
Al4Ir3Au
1.0
2.9484 0.0000 0.0000
0.0000 2.9484 0.0000
0.0000 0.0000 13.3299
Al Ir Au
4 3 1
direct
0.0000 0.0000 0.1186
0.0000 0.0000 0.3561
0.0000 0.0000 0.6439
0.0000 0.0000 0.8814
0.5000 0.5000 0.0000
0.5000 0.5000 0.2396
0.5000 0.5000 0.7604
0.5000 0.5000 0.5000
```


Entry 5:
A plane-wave DFT calculation with PBE was carried out for LaAl4IrAu2 after structural relaxation.

Calculated values
Symmetry: R-3m (166)
Total magnetization: 0.0 Bohr magnetons per cell
ΔE_f: -602.0 meV/atom
Calculated total energy: -5.02 eV per atom

Geometry as POSCAR:
```
LaAl4IrAu2
1.0
2.1838 1.2608 9.3303
-2.1838 1.2608 9.3303
0.0000 -2.5216 9.3303
La Al Ir Au
1 4 1 2
direct
0.0000 0.0000 0.0000
0.1386 0.1386 0.1386
0.4094 0.4094 0.4094
0.5906 0.5906 0.5906
0.8614 0.8614 0.8614
0.5000 0.5000 0.5000
0.2505 0.2505 0.2505
0.7495 0.7495 0.7495
```


Entry 6:
A plane-wave DFT calculation with PBE was carried out for LiAlIrAu after structural relaxation.

Calculated values
Symmetry: F-43m (216)
Total magnetization: 0.0 Bohr magnetons per cell
ΔE_f: -529.1 meV/atom
Calculated total energy: -4.98 eV per atom

Geometry as POSCAR:
```
LiAlIrAu
1.0
0.0000 3.0367 3.0367
3.0367 0.0000 3.0367
3.0367 3.0367 0.0000
Li Al Ir Au
1 1 1 1
direct
0.0000 0.0000 0.0000
0.5000 0.5000 0.5000
0.7500 0.7500 0.7500
0.2500 0.2500 0.2500
```


Entry 7:
A plane-wave DFT calculation with PBE was carried out for LuAlIrAu after structural relaxation.

Calculated values
Symmetry: F-43m (216)
Total magnetization: 0.0 Bohr magnetons per cell
ΔE_f: -680.5 meV/atom
Calculated total energy: -5.78 eV per atom

Geometry as POSCAR:
```
LuAlIrAu
1.0
0.0000 3.2854 3.2854
3.2854 0.0000 3.2854
3.2854 3.2854 0.0000
Lu Al Ir Au
1 1 1 1
direct
0.0000 0.0000 0.0000
0.5000 0.5000 0.5000
0.7500 0.7500 0.7500
0.2500 0.2500 0.2500
```


Entry 8:
A plane-wave DFT calculation with PBE was carried out for MgAlIrAu after structural relaxation.

Calculated values
Symmetry: F-43m (216)
Total magnetization: 0.0 Bohr magnetons per cell
ΔE_f: -507.6 meV/atom
Calculated total energy: -4.88 eV per atom

Geometry as POSCAR:
```
MgAlIrAu
1.0
0.0000 3.1454 3.1454
3.1454 0.0000 3.1454
3.1454 3.1454 0.0000
Mg Al Ir Au
1 1 1 1
direct
0.0000 0.0000 0.0000
0.5000 0.5000 0.5000
0.2500 0.2500 0.2500
0.7500 0.7500 0.7500
```


Entry 9:
A plane-wave DFT calculation with PBE was carried out for Nd2Al4Ir3Au after structural relaxation.

Calculated values
Symmetry: P-4m2 (115)
Total magnetization: 0.0 Bohr magnetons per cell
ΔE_f: -796.9 meV/atom
Calculated total energy: -6.23 eV per atom

Geometry as POSCAR:
```
Nd2Al4Ir3Au
1.0
4.2283 0.0000 0.0000
0.0000 4.2283 0.0000
0.0000 0.0000 10.6732
Nd Al Ir Au
2 4 3 1
direct
0.0000 0.5000 0.2458
0.5000 0.0000 0.7542
0.0000 0.0000 0.0000
0.0000 0.5000 0.6326
0.5000 0.0000 0.3674
0.5000 0.5000 0.0000
0.0000 0.5000 0.8675
0.5000 0.0000 0.1325
0.5000 0.5000 0.5000
0.0000 0.0000 0.5000
```


Entry 10:
A plane-wave DFT calculation with PBE was carried out for PmAl4IrAu2 after structural relaxation.

Calculated values
Symmetry: R-3m (166)
Total magnetization: 0.0 Bohr magnetons per cell
ΔE_f: -594.5 meV/atom
Calculated total energy: -4.99 eV per atom

Geometry as POSCAR:
```
PmAl4IrAu2
1.0
2.1555 1.2445 9.7654
-2.1555 1.2445 9.7654
0.0000 -2.4889 9.7654
Pm Al Ir Au
1 4 1 2
direct
0.0000 0.0000 0.0000
0.1402 0.1402 0.1402
0.4150 0.4150 0.4150
0.5850 0.5850 0.5850
0.8598 0.8598 0.8598
0.5000 0.5000 0.5000
0.2692 0.2692 0.2692
0.7308 0.7308 0.7308
```


Entry 11:
A plane-wave DFT calculation with PBE was carried out for PrAl2IrAu after structural relaxation.

Calculated values
Symmetry: Cmcm (63)
Total magnetization: 0.0 Bohr magnetons per cell
ΔE_f: -665.0 meV/atom
Calculated total energy: -5.55 eV per atom

Geometry as POSCAR:
```
PrAl2IrAu
1.0
2.1857 -6.8064 0.0000
2.1857 6.8064 0.0000
0.0000 0.0000 6.9350
Pr Al Ir Au
2 4 2 2
direct
0.0959 0.9041 0.7500
0.9041 0.0959 0.2500
0.3115 0.6885 0.5537
0.3115 0.6885 0.9463
0.6885 0.3115 0.0537
0.6885 0.3115 0.4463
0.2072 0.7928 0.2500
0.7928 0.2072 0.7500
0.5000 0.5000 0.0000
0.5000 0.5000 0.5000
```


Entry 12:
A plane-wave DFT calculation with PBE was carried out for Rb2AlIrAu after structural relaxation.

Calculated values
Symmetry: P4/mmm (123)
Total magnetization: 0.0 Bohr magnetons per cell
ΔE_f: 389.3 meV/atom
Calculated total energy: -3.17 eV per atom

Geometry as POSCAR:
```
Rb2AlIrAu
1.0
6.3876 0.0000 0.0000
0.0000 6.3876 0.0000
0.0000 0.0000 4.6693
Rb Al Ir Au
2 1 1 1
direct
0.0000 0.5000 0.0000
0.5000 0.0000 0.0000
0.0000 0.0000 0.5000
0.0000 0.0000 0.0000
0.5000 0.5000 0.5000
```


Entry 13:
A plane-wave DFT calculation with PBE was carried out for Al2IrRhAu after structural relaxation.

Calculated values
Symmetry: P4/mmm (123)
Total magnetization: 0.0 Bohr magnetons per cell
ΔE_f: 1069.4 meV/atom
Calculated total energy: -4.33 eV per atom

Geometry as POSCAR:
```
Al2IrRhAu
1.0
4.5909 0.0000 0.0000
0.0000 4.5909 0.0000
0.0000 0.0000 4.9872
Al Ir Rh Au
2 1 1 1
direct
0.0000 0.5000 0.0000
0.5000 0.0000 0.0000
0.0000 0.0000 0.5000
0.5000 0.5000 0.5000
0.0000 0.0000 0.0000
```


Entry 14:
A plane-wave DFT calculation with PBE was carried out for SmAl4IrAu2 after structural relaxation.

Calculated values
Symmetry: R-3m (166)
Total magnetization: 0.0 Bohr magnetons per cell
ΔE_f: -595.2 meV/atom
Calculated total energy: -4.98 eV per atom

Geometry as POSCAR:
```
SmAl4IrAu2
1.0
2.1529 1.2430 9.7488
-2.1529 1.2430 9.7488
0.0000 -2.4860 9.7488
Sm Al Ir Au
1 4 1 2
direct
0.0000 0.0000 0.0000
0.1401 0.1401 0.1401
0.4148 0.4148 0.4148
0.5852 0.5852 0.5852
0.8599 0.8599 0.8599
0.5000 0.5000 0.5000
0.2701 0.2701 0.2701
0.7299 0.7299 0.7299
```


Entry 15:
A plane-wave DFT calculation with PBE was carried out for TaAlIr2Au after structural relaxation.

Calculated values
Symmetry: P4/mmm (123)
Total magnetization: 0.0 Bohr magnetons per cell
ΔE_f: 842.8 meV/atom
Calculated total energy: -6.48 eV per atom

Geometry as POSCAR:
```
TaAlIr2Au
1.0
4.4509 0.0000 0.0000
0.0000 4.4509 0.0000
0.0000 0.0000 4.5726
Ta Al Ir Au
1 1 2 1
direct
0.0000 0.0000 0.0000
0.5000 0.5000 0.5000
0.0000 0.5000 0.5000
0.5000 0.0000 0.5000
0.5000 0.5000 0.0000
```


Entry 16:
A plane-wave DFT calculation with PBE was carried out for AlTeIr2Au after structural relaxation.

Calculated values
Symmetry: P4/mmm (123)
Total magnetization: 0.3 Bohr magnetons per cell
Formation energy from raw total energies: 1.1045 eV/atom
Calculated total energy: -4.47 eV per atom

Geometry as POSCAR:
```
AlTeIr2Au
1.0
4.5542 0.0000 0.0000
0.0000 4.5542 0.0000
0.0000 0.0000 5.0608
Al Te Ir Au
1 1 2 1
direct
0.0000 0.0000 0.0000
0.0000 0.0000 0.5000
0.0000 0.5000 0.0000
0.5000 0.0000 0.0000
0.5000 0.5000 0.5000
```


Entry 17:
A plane-wave DFT calculation with PBE was carried out for ThAl2IrAu2 after structural relaxation.

Calculated values
Symmetry: P4/mmm (123)
Total magnetization: 0.0 Bohr magnetons per cell
ΔE_f: -487.5 meV/atom
Calculated total energy: -5.54 eV per atom

Geometry as POSCAR:
```
ThAl2IrAu2
1.0
4.8098 0.0000 0.0000
0.0000 4.8098 0.0000
0.0000 0.0000 5.5294
Th Al Ir Au
1 2 1 2
direct
0.0000 0.0000 0.0000
0.0000 0.5000 0.5000
0.5000 0.0000 0.5000
0.0000 0.0000 0.5000
0.5000 0.5000 0.2395
0.5000 0.5000 0.7605
```


Entry 18:
A plane-wave DFT calculation with PBE was carried out for TiAlIrAu after structural relaxation.

Calculated values
Symmetry: F-43m (216)
Total magnetization: 0.0 Bohr magnetons per cell
ΔE_f: -575.8 meV/atom
Calculated total energy: -6.52 eV per atom

Geometry as POSCAR:
```
TiAlIrAu
1.0
0.0000 3.1544 3.1544
3.1544 0.0000 3.1544
3.1544 3.1544 0.0000
Ti Al Ir Au
1 1 1 1
direct
0.0000 0.0000 0.0000
0.5000 0.5000 0.5000
0.2500 0.2500 0.2500
0.7500 0.7500 0.7500
```


Entry 19:
A plane-wave DFT calculation with PBE was carried out for KAl6Au12 after structural relaxation.

Calculated values
Symmetry: R-3 (148)
Total magnetization: 0.0 Bohr magnetons per cell
Energy above the most stable polymorph in this dataset: 58 meV per atom
ΔE_f: -237.5 meV/atom
Calculated total energy: -3.55 eV per atom

Geometry as POSCAR:
```
KAl6Au12
1.0
6.6168 3.8202 2.3672
-6.6168 3.8202 2.3672
0.0000 -7.6405 2.3672
K Al Au
1 6 12
direct
0.0000 0.0000 0.0000
0.0332 0.3054 0.5413
0.3054 0.5413 0.0332
0.4587 0.9668 0.6946
0.5413 0.0332 0.3054
0.6946 0.4587 0.9668
0.9668 0.6946 0.4587
0.1253 0.7320 0.1740
0.1740 0.1253 0.7320
0.1922 0.5261 0.4030
0.2680 0.8260 0.8747
0.4030 0.1922 0.5261
0.4739 0.5970 0.8078
0.5261 0.4030 0.1922
0.5970 0.8078 0.4739
0.7320 0.1740 0.1253
0.8078 0.4739 0.5970
0.8260 0.8747 0.2680
0.8747 0.2680 0.8260
```


Entry 20:
A plane-wave DFT calculation with PBE was carried out for KAlAu2 after structural relaxation.

Calculated values
Symmetry: Imm2 (44)
Total magnetization: 0.0 Bohr magnetons per cell
Energy above the most stable polymorph in this dataset: 317 meV per atom
ΔE_f: -70.5 meV/atom
Calculated total energy: -2.92 eV per atom

Geometry as POSCAR:
```
KAlAu2
1.0
-1.4759 2.6547 5.5924
1.4759 -2.6547 5.5924
1.4759 2.6547 -5.5924
K Al Au
1 1 2
direct
0.0000 0.0000 0.0000
0.2813 0.7813 0.5000
0.4750 0.4750 0.0000
0.7105 0.2105 0.5000
```


Entry 21:
A plane-wave DFT calculation with PBE was carried out for KAlAu2 after structural relaxation.

Calculated values
Symmetry: P4/mmm (123)
Total magnetization: 0.0 Bohr magnetons per cell
Energy above the most stable polymorph in this dataset: 156 meV per atom
ΔE_f: -231.2 meV/atom
Calculated total energy: -3.08 eV per atom

Geometry as POSCAR:
```
KAlAu2
1.0
3.2697 0.0000 0.0000
0.0000 3.2697 0.0000
0.0000 0.0000 8.1821
K Al Au
1 1 2
direct
0.0000 0.0000 0.0000
0.0000 0.0000 0.5000
0.5000 0.5000 0.3209
0.5000 0.5000 0.6791
```


Entry 22:
A plane-wave DFT calculation with PBE was carried out for K2AlAu after structural relaxation.

Calculated values
Symmetry: Cm (8)
Total magnetization: 0.0 Bohr magnetons per cell
Energy above the most stable polymorph in this dataset: 0 meV per atom
ΔE_f: -174.8 meV/atom
Calculated total energy: -2.48 eV per atom

Geometry as POSCAR:
```
K2AlAu
1.0
3.7870 -2.2733 0.0000
3.7870 2.2733 0.0000
-2.4850 0.0000 9.1617
K Al Au
2 1 1
direct
0.0000 0.0000 0.0000
0.1776 0.1776 0.5412
0.7552 0.7552 0.2707
0.4163 0.4163 0.2704
```


Entry 23:
A plane-wave DFT calculation with PBE was carried out for K2AlAu after structural relaxation.

Calculated values
Symmetry: I-42d (122)
Total magnetization: 0.0 Bohr magnetons per cell
Energy above the most stable polymorph in this dataset: 119 meV per atom
ΔE_f: -55.5 meV/atom
Calculated total energy: -2.36 eV per atom

Geometry as POSCAR:
```
K2AlAu
1.0
-6.3201 6.3201 2.3993
6.3201 -6.3201 2.3993
6.3201 6.3201 -2.3993
K Al Au
4 2 2
direct
0.3750 0.1958 0.3208
0.8042 0.1250 0.1792
0.8750 0.0542 0.6792
0.9458 0.6250 0.8208
0.2500 0.7500 0.5000
0.5000 0.5000 0.0000
0.0000 0.0000 0.0000
0.7500 0.2500 0.5000
```


Entry 24:
A plane-wave DFT calculation with PBE was carried out for KAl2Au after structural relaxation.

Calculated values
Symmetry: I4_1/amd (141)
Total magnetization: 0.0 Bohr magnetons per cell
ΔE_f: 9.7 meV/atom
Calculated total energy: -2.96 eV per atom

Geometry as POSCAR:
```
KAl2Au
1.0
-2.6941 2.6941 8.5164
2.6941 -2.6941 8.5164
2.6941 2.6941 -8.5164
K Al Au
2 4 2
direct
0.3750 0.6250 0.7500
0.6250 0.3750 0.2500
0.0000 0.0000 0.0000
0.0000 0.0000 0.5000
0.0000 0.5000 0.0000
0.5000 0.0000 0.5000
0.1250 0.8750 0.2500
0.8750 0.1250 0.7500
```


Entry 25:
A plane-wave DFT calculation with PBE was carried out for KAlAu3 after structural relaxation.

Calculated values
Symmetry: Pm-3m (221)
Total magnetization: 0.0 Bohr magnetons per cell
Energy above the most stable polymorph in this dataset: 1429 meV per atom
ΔE_f: 1127.1 meV/atom
Calculated total energy: -1.81 eV per atom

Geometry as POSCAR:
```
KAlAu3
1.0
5.7332 0.0000 0.0000
0.0000 5.7332 0.0000
0.0000 0.0000 5.7332
K Al Au
1 1 3
direct
0.0000 0.0000 0.0000
0.5000 0.5000 0.5000
0.0000 0.0000 0.5000
0.0000 0.5000 0.0000
0.5000 0.0000 0.0000
```


Entry 26:
A plane-wave DFT calculation with PBE was carried out for KAlAu2 after structural relaxation.

Calculated values
Symmetry: P4mm (99)
Total magnetization: 0.0 Bohr magnetons per cell
Energy above the most stable polymorph in this dataset: 261 meV per atom
ΔE_f: -126.6 meV/atom
Calculated total energy: -2.98 eV per atom

Geometry as POSCAR:
```
KAlAu2
1.0
3.7165 0.0000 0.0000
0.0000 3.7165 0.0000
0.0000 0.0000 7.8623
K Al Au
1 1 2
direct
0.0000 0.0000 0.0000
0.5000 0.5000 0.4384
0.0000 0.0000 0.4093
0.5000 0.5000 0.7552
```